1.
Here is a geometry-optimized Cu2Br3 structure from the Alexandria database. Energies are from GGA-PBEsol.

Cell and atoms, written as CIF:
```
data_Cu2Br3
_space_group_name_H-M_alt 'I m m 2'
_space_group_IT_number 44
_cell_length_a 3.804
_cell_length_b 11.505
_cell_length_c 5.466
_cell_angle_alpha 90.00
_cell_angle_beta 90.00
_cell_angle_gamma 90.00
loop_
_space_group_symop_operation_xyz
'x,y,z'
'-x,-y,z'
'-x,y,z'
'x,-y,z'
'x+1/2,y+1/2,z+1/2'
'-x+1/2,-y+1/2,z+1/2'
'-x+1/2,y+1/2,z+1/2'
'x+1/2,-y+1/2,z+1/2'
loop_
_atom_site_label
_atom_site_type_symbol
_atom_site_fract_x
_atom_site_fract_y
_atom_site_fract_z
Cu1 Cu 0.000 0.162 0.000
Br1 Br 0.000 0.000 0.258
Br2 Br 0.000 0.338 0.235
```

Output
N(E_F) = 1.1174 states/eV per atom
formation energy without anion corrections = -1.41 eV per formula unit

2.
Here is a geometry-optimized CuBr2 structure from the Alexandria database. Energies are from GGA-PBEsol.

Cell and atoms, written as CIF:
```
data_CuBr2
_space_group_name_H-M_alt 'I 41/a m d'
_space_group_IT_number 141
_cell_length_a 5.253
_cell_length_b 5.253
_cell_length_c 10.092
_cell_angle_alpha 90.00
_cell_angle_beta 90.00
_cell_angle_gamma 90.00
loop_
_space_group_symop_operation_xyz
'x,y,z'
'-x,-y,-z'
'-y+1/4,x+3/4,z+1/4'
'y+1/4,-x+3/4,-z+1/4'
'-x+1/2,-y,z+1/2'
'x+1/2,y,-z+1/2'
'y+1/4,-x+1/4,z+3/4'
'-y+1/4,x+1/4,-z+3/4'
'x,-y,-z'
'-x,y,z'
'-y+1/4,-x+1/4,-z+3/4'
'y+1/4,x+1/4,z+3/4'
'-x+1/2,y,-z+1/2'
'x+1/2,-y,z+1/2'
'y+1/4,x+3/4,-z+1/4'
'-y+1/4,-x+3/4,z+1/4'
'x+1/2,y+1/2,z+1/2'
'-x+1/2,-y+1/2,-z+1/2'
'-y+3/4,x+1/4,z+3/4'
'y+3/4,-x+1/4,-z+3/4'
'-x,-y+1/2,z'
'x,y+1/2,-z'
'y+3/4,-x+3/4,z+1/4'
'-y+3/4,x+3/4,-z+1/4'
'x+1/2,-y+1/2,-z+1/2'
'-x+1/2,y+1/2,z+1/2'
'-y+3/4,-x+3/4,-z+1/4'
'y+3/4,x+3/4,z+1/4'
'-x,y+1/2,-z'
'x,-y+1/2,z'
'y+3/4,x+1/4,-z+3/4'
'-y+3/4,-x+1/4,z+3/4'
loop_
_atom_site_label
_atom_site_type_symbol
_atom_site_fract_x
_atom_site_fract_y
_atom_site_fract_z
Cu1 Cu 0.000 0.250 0.375
Br1 Br 0.000 0.250 0.142
```

Output
N(E_F) = 0.8394 states/eV per atom
formation energy without anion corrections = -0.71 eV per formula unit

3.
Here is a geometry-optimized Cu3BrF structure from the Alexandria database. Energies are from GGA-PBEsol.

Cell and atoms, written as CIF:
```
data_Cu3BrF
_space_group_name_H-M_alt 'P m -3 m'
_space_group_IT_number 221
_space_group_name_Hall '-P 4 2 3'
_cell_length_a 4.595
_cell_length_b 4.595
_cell_length_c 4.595
_cell_angle_alpha 90.00
_cell_angle_beta 90.00
_cell_angle_gamma 90.00
loop_
_atom_site_label
_atom_site_type_symbol
_atom_site_fract_x
_atom_site_fract_y
_atom_site_fract_z
Cu1 Cu 0.000 0.000 0.500
Br1 Br 0.000 0.000 0.000
F1 F 0.500 0.500 0.500
```

Output
N(E_F) = 0.4527 states/eV per atom
formation energy without anion corrections = 2.96 eV per formula unit

4.
Here is a geometry-optimized CuIr2BrF structure from the Alexandria database. Energies are from GGA-PBEsol.

Cell and atoms, written as CIF:
```
data_CuIr2BrF
_space_group_name_H-M_alt 'P 4/m m m'
_space_group_IT_number 123
_space_group_name_Hall '-P 4 2'
_cell_length_a 4.020
_cell_length_b 4.020
_cell_length_c 5.107
_cell_angle_alpha 90.00
_cell_angle_beta 90.00
_cell_angle_gamma 90.00
loop_
_atom_site_label
_atom_site_type_symbol
_atom_site_fract_x
_atom_site_fract_y
_atom_site_fract_z
Cu1 Cu 0.000 0.000 0.000
Ir1 Ir 0.000 0.500 0.500
Br1 Br 0.500 0.500 0.000
F1 F 0.500 0.500 0.500
```

Output
N(E_F) = 1.5942 states/eV per atom
formation energy without anion corrections = 6.52 eV per formula unit

5.
Here is a geometry-optimized Fe2Cu2Br structure from the Alexandria database. Energies are from GGA-PBEsol.

Cell and atoms, written as CIF:
```
data_Fe2Cu2Br
_space_group_name_H-M_alt 'I 4/m m m'
_space_group_IT_number 139
_space_group_name_Hall '-I 4 2'
_cell_length_a 3.349
_cell_length_b 3.349
_cell_length_c 12.699
_cell_angle_alpha 90.00
_cell_angle_beta 90.00
_cell_angle_gamma 90.00
loop_
_atom_site_label
_atom_site_type_symbol
_atom_site_fract_x
_atom_site_fract_y
_atom_site_fract_z
Fe1 Fe 0.000 0.000 0.101
Cu1 Cu 0.000 0.500 0.250
Br1 Br 0.000 0.000 0.500
```

Output
N(E_F) = 0.6896 states/eV per atom
formation energy without anion corrections = 2.97 eV per formula unit

6.
Here is a geometry-optimized FeCu2Br structure from the Alexandria database. Energies are from GGA-PBEsol.

Cell and atoms, written as CIF:
```
data_FeCu2Br
_space_group_name_H-M_alt 'I m m m'
_space_group_IT_number 71
_space_group_name_Hall '-I 2 2'
_cell_length_a 2.985
_cell_length_b 4.163
_cell_length_c 9.012
_cell_angle_alpha 90.00
_cell_angle_beta 90.00
_cell_angle_gamma 90.00
loop_
_atom_site_label
_atom_site_type_symbol
_atom_site_fract_x
_atom_site_fract_y
_atom_site_fract_z
Fe1 Fe 0.000 0.000 0.000
Cu1 Cu 0.000 0.500 0.255
Br1 Br 0.000 0.000 0.500
```

Output
N(E_F) = 0.6483 states/eV per atom
formation energy without anion corrections = 2.49 eV per formula unit
E above lowest polymorph = 0.073 eV/atom